Record 1
The following is a PBE-GGA calculation of crystalline CePm4Th3Se8 at its relaxed geometry, from Alexandria.

CIF file:
```
data_CePm4Th3Se8
_chemical_formula_sum 'Ce1 Pm4 Th3 Se8'
_symmetry_space_group_name_H-M 'P 1'
_symmetry_Int_Tables_number 1
_cell_length_a 8.320
_cell_length_b 8.470
_cell_length_c 8.317
_cell_angle_alpha 119.38
_cell_angle_beta 120.01
_cell_angle_gamma 90.00
loop_
_symmetry_equiv_pos_as_xyz
'x,y,z'
loop_
_atom_site_label
_atom_site_fract_x
_atom_site_fract_y
_atom_site_fract_z
Ce1 0.000 0.500 0.000
Pm1 0.500 0.000 0.000
Pm2 0.500 0.000 0.500
Pm3 0.000 0.000 0.000
Pm4 0.000 0.000 0.500
Th1 0.500 0.500 0.000
Th2 0.500 0.500 0.500
Th3 0.000 0.500 0.500
Se1 0.251 0.753 0.002
Se2 0.250 0.753 0.501
Se3 0.249 0.246 0.497
Se4 0.752 0.753 0.002
Se5 0.248 0.247 0.998
Se6 0.751 0.754 0.503
Se7 0.750 0.247 0.499
Se8 0.749 0.247 0.998
```

Summary:
SG	R-3m (166)
formation energy without anion corrections	-1.7203	eV/atom

---

Record 2
The following is a PBE-GGA calculation of crystalline K3Au at its relaxed geometry, from Alexandria.

CIF file:
```
data_K3Au
_chemical_formula_sum 'K24 Au8'
_symmetry_space_group_name_H-M 'P 1'
_symmetry_Int_Tables_number 1
_cell_length_a 7.184
_cell_length_b 14.148
_cell_length_c 14.148
_cell_angle_alpha 90.00
_cell_angle_beta 90.00
_cell_angle_gamma 90.00
loop_
_symmetry_equiv_pos_as_xyz
'x,y,z'
loop_
_atom_site_label
_atom_site_fract_x
_atom_site_fract_y
_atom_site_fract_z
K1 0.032 0.276 0.835
K2 0.032 0.724 0.165
K3 0.532 0.665 0.776
K4 0.532 0.335 0.224
K5 0.468 0.224 0.665
K6 0.468 0.776 0.335
K7 0.968 0.835 0.724
K8 0.968 0.165 0.276
K9 0.538 0.378 0.916
K10 0.538 0.622 0.084
K11 0.038 0.584 0.878
K12 0.038 0.416 0.122
K13 0.962 0.122 0.584
K14 0.962 0.878 0.416
K15 0.462 0.916 0.622
K16 0.462 0.084 0.378
K17 0.731 0.040 0.869
K18 0.731 0.960 0.131
K19 0.231 0.631 0.540
K20 0.231 0.369 0.460
K21 0.769 0.460 0.631
K22 0.769 0.540 0.369
K23 0.269 0.869 0.960
K24 0.269 0.131 0.040
Au1 0.785 0.793 0.951
Au2 0.785 0.207 0.049
Au3 0.285 0.549 0.293
Au4 0.285 0.451 0.707
Au5 0.715 0.707 0.549
Au6 0.715 0.293 0.451
Au7 0.215 0.951 0.207
Au8 0.215 0.049 0.793
```

Summary:
SG	P4_2/n (86)
DFT formation energy	-0.159	eV/atom